No. 1
Here is an optimized crystal structure of KZrNi2Rh from the Alexandria database. Energies are from GGA-PBE.

DOS at the Fermi energy: 9.484 states/eV per cell
total energy: -4.3631 eV/atom
calculated volume: 21.50 Å³/atom

Unit cell a=4.6793 b=4.6793 c=4.9098 alpha=90.00 beta=90.00 gamma=90.00
Space group P4/mmm (No. 123)
One atom of each set of equivalent atoms:
K  0.0000  0.0000  0.0000 [1 per cell]
Zr  0.5000  0.5000  0.0000 [1 per cell]
Ni  0.0000  0.5000  0.5000 [2 per cell]
Rh  0.0000  0.0000  0.5000 [1 per cell]

***

No. 2
Here is an optimized crystal structure of Na3Ga3Pd2 from the Alexandria database. Energies are from GGA-PBE.

DOS at the Fermi energy: 4.461 states/eV per cell
total energy: -3.1792 eV/atom
calculated volume: 18.75 Å³/atom

Unit cell a=7.7337 b=7.7337 c=2.8953 alpha=90.00 beta=90.00 gamma=120.00
Space group P-62m (No. 189)
One atom of each set of equivalent atoms:
Na  0.0000  0.2365  0.0000 [3 per cell]
Ga  0.0000  0.5844  0.5000 [3 per cell]
Pd  0.3333  0.6667  0.0000 [2 per cell]

***

No. 3
Here is an optimized crystal structure of HfTaRh3 from the Alexandria database. Energies are from GGA-PBE.

DOS at the Fermi energy: 4.764 states/eV per cell
calculated volume: 20.51 Å³/atom
E above lowest polymorph: 0.00 eV per formula unit

Unit cell a=4.6805 b=4.6805 c=4.6805 alpha=90.00 beta=90.00 gamma=90.00
Space group Pm-3m (No. 221)
One atom of each set of equivalent atoms:
Hf  0.0000  0.0000  0.0000 [1 per cell]
Ta  0.5000  0.5000  0.5000 [1 per cell]
Rh  0.0000  0.5000  0.5000 [3 per cell]

***

No. 4
Here is an optimized crystal structure of AsNF from the Alexandria database. Energies are from GGA-PBE.

DOS at the Fermi energy: 17.682 states/eV per cell
calculated volume: 18.81 Å³/atom
raw formation energy: 1.55 eV/atom

Unit cell a=15.0940 b=4.6231 c=6.4705 alpha=90.00 beta=90.00 gamma=90.00
Space group Cmce (No. 64)
One atom of each set of equivalent atoms:
As  0.2500  0.2502  0.2500 [8 per cell]
N  0.0000  0.1306  0.2427 [8 per cell]
F  0.1516  0.0000  0.5000 [8 per cell]

***

No. 5
Here is an optimized crystal structure of BaLi2Mg9 from the Alexandria database. Energies are from GGA-PBE.

DOS at the Fermi energy: 27.049 states/eV per cell
calculated volume: 25.37 Å³/atom
E above lowest polymorph: 0.00 eV per formula unit

Unit cell a=12.3506 b=12.3506 c=7.9836 alpha=90.00 beta=90.00 gamma=90.00
Space group I4_1/amd (No. 141, origin choice 2)
One atom of each set of equivalent atoms:
Ba  0.0000  0.2500  0.3750 [4 per cell]
Li  0.0000  0.0000  0.0000 [8 per cell]
Mg  0.0000  0.2500  0.8750 [4 per cell]
Mg  0.1234  0.0461  0.6874 [32 per cell]

***

No. 6
Here is an optimized crystal structure of Dy2Ho3Er from the Alexandria database. Energies are from GGA-PBE.

DOS at the Fermi energy: 22.261 states/eV per cell
total energy: -4.5118 eV/atom
calculated volume: 30.82 Å³/atom

Unit cell a=5.5625 b=8.8743 c=8.8749 alpha=65.42 beta=71.78 gamma=71.78
Space group P-1 (No. 2)
One atom of each set of equivalent atoms:
Dy  0.9998  0.1664  0.3338 [2 per cell]
Dy  0.2497  0.9173  0.0832 [2 per cell]
Ho  0.1249  0.3756  0.8747 [2 per cell]
Ho  0.2496  0.5838  0.4169 [2 per cell]
Ho  0.4997  0.3330  0.1675 [2 per cell]
Er  0.3749  0.1256  0.6247 [2 per cell]

***

No. 7
Here is an optimized crystal structure of GdTm2Pb from the Alexandria database. Energies are from GGA-PBE.

DOS at the Fermi energy: 15.888 states/eV per cell
calculated volume: 30.81 Å³/atom
E above lowest polymorph: 1.43 eV per formula unit

Unit cell a=3.4763 b=3.4763 c=35.3262 alpha=90.00 beta=90.00 gamma=120.00
Space group R-3m (No. 166, hexagonal axes)
One atom of each set of equivalent atoms:
Gd  0.0000  0.0000  0.0000 [3 per cell]
Tm  0.0000  0.0000  0.0928 [6 per cell]
Pb  0.0000  0.0000  0.5000 [3 per cell]

***

No. 8
Here is an optimized crystal structure of Ca2NdIn from the Alexandria database. Energies are from GGA-PBE.

DOS at the Fermi energy: 14.682 states/eV per cell
calculated volume: 34.36 Å³/atom
E above lowest polymorph: 0.57 eV per formula unit

Unit cell a=3.7059 b=3.7059 c=34.6702 alpha=90.00 beta=90.00 gamma=120.00
Space group R3m (No. 160, hexagonal axes)
One atom of each set of equivalent atoms:
Ca  0.0000  0.0000  0.0000 [3 per cell]
Ca  0.0000  0.0000  0.1848 [3 per cell]
Nd  0.0000  0.0000  0.4265 [3 per cell]
In  0.0000  0.0000  0.5923 [3 per cell]

***

No. 9
Here is an optimized crystal structure of ZnRePt2 from the Alexandria database. Energies are from GGA-PBE.

DOS at the Fermi energy: 6.364 states/eV per cell
total energy: -6.6155 eV/atom
calculated volume: 15.07 Å³/atom

Unit cell a=9.1352 b=2.7455 c=4.8573 alpha=90.00 beta=98.22 gamma=90.00
Space group Cm (No. 8)
One atom of each set of equivalent atoms:
Zn  0.0000  0.0000  0.0000 [2 per cell]
Re  0.2518  0.5000  0.3010 [2 per cell]
Pt  0.2514  0.0000  0.8021 [2 per cell]
Pt  0.4958  0.0000  0.4891 [2 per cell]

***

No. 10
Here is an optimized crystal structure of SrZnAs from the Alexandria database. Energies are from GGA-PBE.

DOS at the Fermi energy: 5.391 states/eV per cell
total energy: -3.2409 eV/atom
calculated volume: 26.53 Å³/atom

Unit cell a=7.5696 b=4.5533 c=9.2364 alpha=90.00 beta=90.00 gamma=90.00
Space group Pnma (No. 62)
One atom of each set of equivalent atoms:
Sr  0.1352  0.2500  0.1544 [4 per cell]
Zn  0.0141  0.7500  0.4140 [4 per cell]
As  0.1604  0.2500  0.8202 [4 per cell]

***

No. 11
Here is an optimized crystal structure of Na2YTiTl from the Alexandria database. Energies are from GGA-PBE.

DOS at the Fermi energy: 5.680 states/eV per cell
total energy: -2.9790 eV/atom
calculated volume: 33.36 Å³/atom

Unit cell a=5.5695 b=5.5695 c=5.3767 alpha=90.00 beta=90.00 gamma=90.00
Space group P4/mmm (No. 123)
One atom of each set of equivalent atoms:
Na  0.0000  0.5000  0.0000 [2 per cell]
Y  0.0000  0.0000  0.5000 [1 per cell]
Ti  0.0000  0.0000  0.0000 [1 per cell]
Tl  0.5000  0.5000  0.5000 [1 per cell]

***

No. 12
Here is an optimized crystal structure of Ba2PrSb3Pd4 from the Alexandria database. Energies are from GGA-PBE.

DOS at the Fermi energy: 6.730 states/eV per cell
calculated volume: 26.11 Å³/atom
raw formation energy: -0.84 eV/atom

Unit cell a=4.7514 b=4.7514 c=11.5643 alpha=90.00 beta=90.00 gamma=90.00
Space group P-4m2 (No. 115)
One atom of each set of equivalent atoms:
Ba  0.0000  0.5000  0.2257 [2 per cell]
Pr  0.0000  0.0000  0.5000 [1 per cell]
Sb  0.0000  0.5000  0.8811 [2 per cell]
Sb  0.5000  0.5000  0.5000 [1 per cell]
Pd  0.0000  0.0000  0.0000 [1 per cell]
Pd  0.0000  0.5000  0.6473 [2 per cell]
Pd  0.5000  0.5000  0.0000 [1 per cell]